Here is a geometry-optimized PmCuSnHg structure from Alexandria via LeMat-Bulk. Energies are from PBE-GGA.

Cell: 5.0618 5.0618 5.0618 Å, 60.00 60.00 60.00°
Positions (direct):
Cu: 0.5000 0.5000 0.5000
Hg: 0.0000 0.0000 0.0000
Sn: 0.2500 0.2500 0.2500
Pm: 0.7500 0.7500 0.7500


Here is a geometry-optimized Sr2LaMo structure from Alexandria via LeMat-Bulk. Energies are from PBE-GGA.

Cell: 5.7292 5.7292 5.7292 Å, 119.98 119.98 90.04°
Positions (direct):
La: 0.5000 0.5000 0.0000
Mo: 0.7500 0.2500 0.5000
Sr: 0.0000 0.0000 0.0000
Sr: 0.2500 0.7500 0.5000

Calculated values
ΔE to the lowest computed polymorph	257	meV/atom


Here is a geometry-optimized Tb12Nd6Dy structure from Alexandria via LeMat-Bulk. Energies are from PBE-GGA.

Cell: 8.7269 8.7269 8.7269 Å, 79.47 79.47 79.47°
Positions (direct):
Tb: 0.8036 0.4853 0.4854
Tb: 0.4854 0.8036 0.4853
Tb: 0.4853 0.4854 0.8036
Tb: 0.1964 0.5147 0.5146
Tb: 0.5146 0.1964 0.5147
Tb: 0.5147 0.5146 0.1964
Tb: 0.1366 0.1367 0.4870
Tb: 0.8633 0.5130 0.8634
Tb: 0.5130 0.8634 0.8633
Tb: 0.8634 0.8633 0.5130
Tb: 0.1367 0.4870 0.1366
Tb: 0.4870 0.1366 0.1367
Nd: 0.7685 0.7683 0.1627
Nd: 0.8373 0.2315 0.2317
Nd: 0.2317 0.8373 0.2315
Nd: 0.2315 0.2317 0.8373
Nd: 0.1627 0.7685 0.7683
Nd: 0.7683 0.1627 0.7685
Dy: 0.0000 0.0000 0.0000

Calculated values
ΔE to the lowest computed polymorph	0	meV/atom


Here is a geometry-optimized CaCr2P structure from Alexandria via LeMat-Bulk. Energies are from PBE-GGA.

Cell: 5.6475 5.6475 5.6475 Å, 141.74 136.38 59.39°
Positions (direct):
Ca: 0.2894 0.7894 0.5000
Cr: 0.0199 0.0199 0.0000
Cr: 0.6674 0.1674 0.5000
P: 0.5234 0.5234 0.0000


Here is a geometry-optimized LiSmGe2Pd5 structure from Alexandria via LeMat-Bulk. Energies are from PBE-GGA.

Cell: 4.1609 4.1609 9.3571 Å, 90.00 90.00 90.00°
Positions (direct):
Li: 0.0000 0.0000 0.0000
Sm: 0.0000 0.0000 0.5000
Ge: 0.5000 0.5000 0.1304
Ge: 0.5000 0.5000 0.8696
Pd: 0.0000 0.5000 0.2712
Pd: 0.5000 0.0000 0.2712
Pd: 0.0000 0.5000 0.7288
Pd: 0.5000 0.0000 0.7288
Pd: 0.5000 0.5000 0.5000


Here is a geometry-optimized AuC2 structure from Alexandria via LeMat-Bulk. Energies are from PBE-GGA.

Cell: 2.6041 7.7068 3.2251 Å, 90.00 90.00 90.00°
Positions (direct):
C: 0.0000 0.2924 0.5000
C: 0.0000 0.7076 0.5000
C: 0.5000 0.7924 0.5000
C: 0.5000 0.2076 0.5000
Au: 0.5000 0.0000 0.0000
Au: 0.0000 0.5000 0.0000

Calculated values
ΔE to the lowest computed polymorph	697	meV/atom


| no. | size of the total moment (μB/f.u.) | energy (eV per cell) |
| --- | --- | --- |
| 1 | 0.00 | -14.2 |
| 2 | 2.60 | -16.0 |
| 3 | 0.00 | -86.4 |
| 4 | 0.65 | -26.0 |
| 5 | 0.00 | -47.5 |
| 6 | 0.00 | -37.7 |